Entry 1:
The following is a PBE calculation of a geometry-optimized Cd2NiSbPt structure, from the Alexandria database.

SG ... P4/mmm
DFT total energy ... -16.12 eV for the cell shown

Cell lengths 4.877, 4.622, 4.877 Å; angles 90.00, 90.00, 90.00 degrees
Fractional coordinates of all 5 atoms:
Sb1 0.000 0.500 0.000
Ni1 0.000 0.000 0.000
Pt1 0.500 0.500 0.500
Cd1 0.000 0.000 0.500
Cd2 0.500 0.000 0.000



Entry 2:
The following is a PBE calculation of a geometry-optimized Sc4CdNi2Pt structure, from the Alexandria database.

SG ... R-3m
DFT total energy ... -48.61 eV for the cell shown

Cell lengths 4.659, 4.659, 8.141 Å; angles 73.37, 73.37, 60.00 degrees
Fractional coordinates of all 8 atoms:
Sc1 0.381 0.381 0.858
Sc2 0.871 0.871 0.388
Sc3 0.129 0.129 0.612
Sc4 0.619 0.619 0.142
Cd1 0.000 0.000 0.000
Ni1 0.746 0.746 0.763
Ni2 0.254 0.254 0.237
Pt1 0.500 0.500 0.500



Entry 3:
The following is a PBE calculation of a geometry-optimized CdNiSnPt structure, from the Alexandria database.

SG ... F-43m
DFT total energy ... -17.44 eV for the cell shown

Cell lengths 4.586, 4.586, 4.586 Å; angles 60.00, 60.00, 60.00 degrees
Fractional coordinates of all 4 atoms:
Ni1 0.250 0.250 0.250
Sn1 0.000 0.000 0.000
Pt1 0.750 0.750 0.750
Cd1 0.500 0.500 0.500



Entry 4:
The following is a PBE calculation of a geometry-optimized Ta2CdNiPt structure, from the Alexandria database.

SG ... P4/mmm
DFT total energy ... -25.44 eV for the cell shown

Cell lengths 4.936, 4.791, 4.936 Å; angles 90.00, 90.00, 90.00 degrees
Fractional coordinates of all 5 atoms:
Ni1 0.500 0.500 0.500
Cd1 0.000 0.000 0.000
Pt1 0.000 0.500 0.000
Ta1 0.000 0.000 0.500
Ta2 0.500 0.000 0.000



Entry 5:
The following is a PBE calculation of a geometry-optimized TbCdNiPt structure, from the Alexandria database.

SG ... F-43m
DFT total energy ... -19.55 eV for the cell shown

Cell lengths 4.729, 4.729, 4.729 Å; angles 60.00, 60.00, 60.00 degrees
Fractional coordinates of all 4 atoms:
Ni1 0.250 0.250 0.250
Tb1 0.000 0.000 0.000
Pt1 0.750 0.750 0.750
Cd1 0.500 0.500 0.500



Entry 6:
The following is a PBE calculation of a geometry-optimized TmCdNiPt structure, from the Alexandria database.

SG ... F-43m
DFT total energy ... -19.56 eV for the cell shown

Cell lengths 4.675, 4.675, 4.675 Å; angles 60.00, 60.00, 60.00 degrees
Fractional coordinates of all 4 atoms:
Ni1 0.250 0.250 0.250
Tm1 0.500 0.500 0.500
Pt1 0.750 0.750 0.750
Cd1 0.000 0.000 0.000